This record from Alexandria describes an optimized crystal structure of Na2VF7. The functional is PBE with a Hubbard U.

abc: 6.879 6.879 8.651
angles: 122.40 122.40 54.31
Element x y z (fractional)
Na  0.109  0.271  0.290
Na  0.271  0.109  0.790
Na  0.729  0.891  0.210
Na  0.891  0.729  0.710
V  0.369  0.631  0.250
V  0.631  0.369  0.750
F  0.057  0.943  0.250
F  0.137  0.555  0.239
F  0.232  0.593  0.990
F  0.272  0.491  0.637
F  0.407  0.768  0.510
F  0.445  0.863  0.261
F  0.491  0.272  0.137
F  0.509  0.728  0.863
F  0.555  0.137  0.739
F  0.593  0.232  0.490
F  0.728  0.509  0.363
F  0.768  0.407  0.010
F  0.863  0.445  0.761
F  0.943  0.057  0.750

Properties
V   265.5 Å³ per cell
Final energy   -97.8 eV per cell
Spin magnetization   0.00 μB per cell
DOS at the Fermi energy   0.00 states/eV per atom